{"formula": "CdCoO3", "functional": "PBE with a Hubbard U", "state": "optimized geometry", "lattice": [[5.120, 0.000, 0.000], [0.258, 6.409, 0.000], [0.399, 0.827, 7.249]], "species": ["Cd", "Cd", "Cd", "Cd", "Co", "Co", "Co", "Co", "O", "O", "O", "O", "O", "O", "O", "O", "O", "O", "O", "O"], "fractional_positions": [[0.220, 0.133, 0.297], [0.259, 0.661, 0.939], [0.741, 0.339, 0.061], [0.780, 0.867, 0.703], [0.244, 0.580, 0.424], [0.274, 0.239, 0.756], [0.726, 0.761, 0.244], [0.756, 0.420, 0.576], [0.047, 0.561, 0.652], [0.067, 0.818, 0.342], [0.158, 0.283, 0.993], [0.370, 0.968, 0.785], [0.420, 0.312, 0.508], [0.453, 0.578, 0.205], [0.547, 0.422, 0.795], [0.580, 0.688, 0.492], [0.630, 0.032, 0.215], [0.842, 0.717, 0.007], [0.933, 0.182, 0.658], [0.953, 0.439, 0.348]], "e_tot_ev_per_atom": -4.972}



{"formula": "Cd3Co5O12", "functional": "PBE with a Hubbard U", "state": "optimized geometry", "lattice": [[-6.117, 6.117, 6.117], [6.117, -6.117, 6.117], [6.117, 6.117, -6.117]], "species": ["Cd", "Cd", "Cd", "Cd", "Cd", "Cd", "Cd", "Cd", "Cd", "Cd", "Cd", "Cd", "Co", "Co", "Co", "Co", "Co", "Co", "Co", "Co", "Co", "Co", "Co", "Co", "Co", "Co", "Co", "Co", "Co", "Co", "Co", "Co", "O", "O", "O", "O", "O", "O", "O", "O", "O", "O", "O", "O", "O", "O", "O", "O", "O", "O", "O", "O", "O", "O", "O", "O", "O", "O", "O", "O", "O", "O", "O", "O", "O", "O", "O", "O", "O", "O", "O", "O", "O", "O", "O", "O", "O", "O", "O", "O"], "fractional_positions": [[0.125, 0.250, 0.375], [0.125, 0.375, 0.750], [0.250, 0.375, 0.125], [0.250, 0.875, 0.625], [0.375, 0.125, 0.250], [0.375, 0.750, 0.125], [0.625, 0.250, 0.875], [0.625, 0.875, 0.750], [0.750, 0.125, 0.375], [0.750, 0.625, 0.875], [0.875, 0.625, 0.250], [0.875, 0.750, 0.625], [0.000, 0.000, 0.000], [0.000, 0.000, 0.500], [0.000, 0.500, 0.000], [0.000, 0.500, 0.500], [0.125, 0.750, 0.875], [0.125, 0.875, 0.250], [0.250, 0.125, 0.875], [0.250, 0.625, 0.375], [0.375, 0.250, 0.625], [0.375, 0.625, 0.750], [0.500, 0.000, 0.000], [0.500, 0.000, 0.500], [0.500, 0.500, 0.000], [0.500, 0.500, 0.500], [0.625, 0.375, 0.250], [0.625, 0.750, 0.375], [0.750, 0.375, 0.625], [0.750, 0.875, 0.125], [0.875, 0.125, 0.750], [0.875, 0.250, 0.125], [0.017, 0.194, 0.113], [0.017, 0.323, 0.904], [0.081, 0.694, 0.677], [0.081, 0.887, 0.404], [0.096, 0.613, 0.419], [0.096, 0.983, 0.677], [0.113, 0.017, 0.194], [0.113, 0.596, 0.919], [0.177, 0.194, 0.581], [0.177, 0.483, 0.596], [0.194, 0.113, 0.017], [0.194, 0.581, 0.177], [0.306, 0.323, 0.919], [0.306, 0.483, 0.387], [0.323, 0.904, 0.017], [0.323, 0.919, 0.306], [0.387, 0.306, 0.483], [0.387, 0.581, 0.904], [0.404, 0.081, 0.887], [0.404, 0.823, 0.517], [0.419, 0.096, 0.613], [0.419, 0.823, 0.806], [0.483, 0.387, 0.306], [0.483, 0.596, 0.177], [0.517, 0.404, 0.823], [0.517, 0.613, 0.694], [0.581, 0.177, 0.194], [0.581, 0.904, 0.387], [0.596, 0.177, 0.483], [0.596, 0.919, 0.113], [0.613, 0.419, 0.096], [0.613, 0.694, 0.517], [0.677, 0.081, 0.694], [0.677, 0.096, 0.983], [0.694, 0.517, 0.613], [0.694, 0.677, 0.081], [0.806, 0.419, 0.823], [0.806, 0.887, 0.983], [0.823, 0.517, 0.404], [0.823, 0.806, 0.419], [0.887, 0.404, 0.081], [0.887, 0.983, 0.806], [0.904, 0.017, 0.323], [0.904, 0.387, 0.581], [0.919, 0.113, 0.596], [0.919, 0.306, 0.323], [0.983, 0.677, 0.096], [0.983, 0.806, 0.887]], "e_tot_ev_per_atom": -5.183}



{"formula": "Cd2CoO3", "functional": "PBE with a Hubbard U", "state": "optimized geometry", "lattice": [[5.339, -3.073, 0.000], [5.339, 3.073, 0.000], [0.000, 0.000, 5.592]], "species": ["Cd", "Cd", "Cd", "Cd", "Co", "Co", "O", "O", "O", "O", "O", "O"], "fractional_positions": [[0.010, 0.666, 0.500], [0.334, 0.990, 0.500], [0.666, 0.010, 0.000], [0.990, 0.334, 0.000], [0.341, 0.659, 0.997], [0.659, 0.341, 0.497], [0.027, 0.666, 0.097], [0.334, 0.973, 0.097], [0.362, 0.638, 0.639], [0.638, 0.362, 0.139], [0.666, 0.027, 0.597], [0.973, 0.334, 0.597]], "e_tot_ev_per_atom": -4.646}



{"formula": "CdCoO", "functional": "PBE with a Hubbard U", "state": "optimized geometry", "lattice": [[6.390, 0.000, 0.000], [0.000, 5.522, 0.000], [-2.877, 0.000, 5.384]], "species": ["Cd", "Cd", "Cd", "Cd", "Co", "Co", "Co", "Co", "O", "O", "O", "O"], "fractional_positions": [[0.232, 0.233, 0.392], [0.232, 0.267, 0.892], [0.768, 0.733, 0.108], [0.768, 0.767, 0.608], [0.350, 0.692, 0.655], [0.350, 0.808, 0.155], [0.650, 0.192, 0.845], [0.650, 0.308, 0.345], [0.158, 0.684, 0.824], [0.158, 0.816, 0.324], [0.842, 0.184, 0.676], [0.842, 0.316, 0.176]], "e_tot_ev_per_atom": -4.037}



no.,spin magnetization (Bohr magnetons per cell),calculated density (g cm⁻³)
1,7.95,6.1
2,60.01,6.0
3,6.03,6.0
4,10.72,6.5